# TaCoSiW GGA-PBE optimized geometry
# Total DFT energy (no corrections) (eV/f.u.): -37.43
# Spin magnetization (Bohr magnetons per cell): 0.010
# Crystal system: cubic
data_TaCoSiW
_chemical_formula_sum 'Ta4 Co4 Si4 W4'
_space_group_name_H-M_alt 'F -4 3 m'
_space_group_IT_number 216
_space_group_name_Hall 'F -4 2 3'
_cell_length_a 6.1112
_cell_length_b 6.1112
_cell_length_c 6.1112
_cell_angle_alpha 90.00
_cell_angle_beta 90.00
_cell_angle_gamma 90.00
loop_
_atom_site_label
_atom_site_type_symbol
_atom_site_fract_x
_atom_site_fract_y
_atom_site_fract_z
_atom_site_occupancy
Ta1 Ta 0.0000 0.0000 0.0000 1
Co1 Co 0.2500 0.2500 0.7500 1
Si1 Si 0.0000 0.0000 0.5000 1
W1 W 0.2500 0.2500 0.2500 1